Entry 1:
Material: Rb2BaHf3O8
Method: DFT, GGA-PBE
State: relaxed

Calculated values
- formation energy from raw total energies (kJ/mol of atoms) = -280.63
- magnetic moment (μB per formula unit) = 0.0
- total DFT energy (no corrections) (eV per atom) = -8.15
- V (Å³/cell) = 247.7
- space-group type = R3m

Geometry as POSCAR:
```
Rb2BaHf3O8
1.0
6.5864 0.0000 0.0000
3.2932 5.7040 0.0000
3.2932 1.9013 6.5920
O Ba Hf Rb
8 1 3 2
direct
0.3173 0.7578 0.1671
0.2381 0.2381 0.8466
0.7234 0.7234 0.8297
0.6772 0.2381 0.8466
0.2755 0.2755 0.1735
0.2381 0.6772 0.8466
0.7578 0.7578 0.1671
0.7578 0.3173 0.1671
0.8810 0.8810 0.3569
0.4987 0.0030 0.9996
0.4987 0.4987 0.9996
0.0030 0.4987 0.9996
0.4976 0.4976 0.5073
0.1285 0.1285 0.6146
```

=====

Entry 2:
Material: RbBa4Hf3O12
Method: DFT, GGA-PBE
State: relaxed

Calculated values
- formation energy from raw total energies (kJ/mol of atoms) = -254.28
- magnetic moment (μB per formula unit) = 3.1
- total DFT energy (no corrections) (eV per atom) = -7.54
- V (Å³/cell) = 327.4
- space-group type = Im-3m

Geometry as POSCAR:
```
RbBa4Hf3O12
1.0
-4.5643 5.4654 -2.4177
-4.0292 -5.2060 3.6348
5.1351 2.9028 4.6640
O Hf Ba Rb
12 3 4 1
direct
0.7500 0.5000 0.2500
0.5000 0.7500 0.2500
0.0000 0.2739 0.2739
0.2500 0.5000 0.7500
0.2500 0.7500 0.5000
0.0000 0.7261 0.7261
0.7500 0.2500 0.5000
0.7261 0.7261 0.0000
0.7261 0.0000 0.7261
0.5000 0.2500 0.7500
0.2739 0.0000 0.2739
0.2739 0.2739 0.0000
0.5000 0.0000 0.5000
0.0000 0.5000 0.5000
0.5000 0.5000 0.0000
0.0000 0.5000 0.0000
0.5000 0.0000 0.0000
0.0000 0.0000 0.5000
0.5000 0.5000 0.5000
0.0000 0.0000 0.0000
```

=====

Entry 3:
Material: BaHfReO6
Method: DFT, GGA-PBE
State: relaxed

Calculated values
- formation energy from raw total energies (kJ/mol of atoms) = -237.28
- magnetic moment (μB per formula unit) = 0.5
- total DFT energy (no corrections) (eV per atom) = -8.47
- V (Å³/cell) = 281.8
- space-group type = Imma

Geometry as POSCAR:
```
BaHfReO6
1.0
-6.9902 1.7382 1.3770
-1.4269 -0.0323 -7.2030
2.9964 -5.9362 3.1760
Hf O Ba Re
2 12 2 2
direct
0.5000 0.0000 0.5000
0.0000 0.0000 0.5000
0.5613 0.9067 0.7467
0.4387 0.0933 0.2533
0.5613 0.3400 0.7467
0.4639 0.7139 0.9278
0.1854 0.9067 0.7467
0.1598 0.9098 0.3197
0.4387 0.6600 0.2533
0.5361 0.2861 0.0722
0.8146 0.6600 0.2533
0.1854 0.3400 0.7467
0.8402 0.0902 0.6803
0.8146 0.0933 0.2533
0.1037 0.3537 0.2075
0.8963 0.6463 0.7925
0.5000 0.5000 0.0000
0.5000 0.0000 0.0000
```

=====

Entry 4:
Material: Ba2HfReO6
Method: DFT, GGA-PBE
State: relaxed

Calculated values
- formation energy from raw total energies (kJ/mol of atoms) = -236.83
- magnetic moment (μB per formula unit) = 0.9
- total DFT energy (no corrections) (eV per atom) = -8.05
- V (Å³/cell) = 169.5
- space-group type = C2/m

Geometry as POSCAR:
```
Ba2HfReO6
1.0
5.6119 0.0008 0.0047
0.0007 5.6127 0.0046
2.8104 2.8108 5.3866
O Re Ba Hf
6 1 2 1
direct
0.2634 0.7369 0.0000
0.7366 0.2631 0.0000
0.8095 0.8095 0.3806
0.1905 0.1905 0.6194
0.7367 0.7363 0.0009
0.2633 0.2637 0.9991
0.5000 0.5000 0.0000
0.2499 0.7499 0.5002
0.7501 0.2501 0.4998
0.0000 0.0000 0.0000
```

=====

Entry 5:
Material: Ba2HfRe3O12
Method: DFT, GGA-PBE
State: relaxed

Calculated values
- formation energy from raw total energies (kJ/mol of atoms) = -204.72
- magnetic moment (μB per formula unit) = 2.1
- total DFT energy (no corrections) (eV per atom) = -8.27
- V (Å³/cell) = 285.6
- space-group type = R-3m

Geometry as POSCAR:
```
Ba2HfRe3O12
1.0
7.4313 0.0714 0.0506
3.7320 6.4266 0.0506
3.7320 2.1723 6.0485
O Hf Re Ba
12 1 3 2
direct
0.9196 0.3402 0.9196
0.9196 0.9196 0.3402
0.6967 0.0650 0.6967
0.0650 0.6967 0.6967
0.9350 0.3033 0.3033
0.6967 0.6967 0.0650
0.0804 0.6598 0.0804
0.6598 0.0804 0.0804
0.3033 0.9350 0.3033
0.3402 0.9196 0.9196
0.0804 0.0804 0.6598
0.3033 0.3033 0.9350
0.0000 0.0000 0.0000
0.5000 0.0000 0.0000
0.0000 0.0000 0.5000
0.0000 0.5000 0.0000
0.6714 0.6714 0.6714
0.3286 0.3286 0.3286
```

=====

Entry 6:
Material: Ba2HfRu3O12
Method: DFT, GGA-PBE
State: relaxed

Calculated values
- formation energy from raw total energies (kJ/mol of atoms) = -164.45
- magnetic moment (μB per formula unit) = 0.0
- total DFT energy (no corrections) (eV per atom) = -7.32
- V (Å³/cell) = 270.5
- space-group type = R-3m

Geometry as POSCAR:
```
Ba2HfRu3O12
1.0
-6.9884 1.9322 0.9780
-3.3534 -1.0945 6.4098
-1.7879 5.6209 4.3287
O Hf Ru Ba
12 1 3 2
direct
0.6498 0.0895 0.0895
0.3043 0.3043 0.9224
0.9105 0.3502 0.9105
0.9224 0.3043 0.3043
0.6957 0.6957 0.0776
0.0776 0.6957 0.6957
0.9105 0.9105 0.3502
0.0895 0.6498 0.0895
0.0895 0.0895 0.6498
0.6957 0.0776 0.6957
0.3502 0.9105 0.9105
0.3043 0.9224 0.3043
0.0000 0.0000 0.0000
0.5000 0.0000 0.0000
0.0000 0.5000 0.0000
0.0000 0.0000 0.5000
0.6451 0.6451 0.6451
0.3549 0.3549 0.3549
```

=====

Number 5 is which compound? Ba2HfRe3O12

=====

What is the V in the second record? 327.4 Å³/cell